*a*
A plane-wave DFT calculation with PBE-GGA was carried out for crystalline Ru3Br at its relaxed geometry.

Calculated values
The symmetry is No. 123. For the density, the calculation gives 10.44 g cm⁻³. Its size of the total moment is 0.421 μB per cell. The calculation puts the calculated volume at 60.9 Å³ per cell.

abc: 4.621 4.621 2.853
angles: 90.00 90.00 90.00
Atoms (fractional coordinates):
1 Ru 0.000 0.000 0.000
2 Ru 0.000 0.500 0.500
3 Ru 0.500 0.000 0.500
4 Br 0.500 0.500 0.000

*b*
A plane-wave DFT calculation with PBE-GGA was carried out for crystalline Ru3Br at its relaxed geometry.

Calculated values
The symmetry is No. 65. For the density, the calculation gives 10.54 g cm⁻³. Its size of the total moment is 0.000 μB per cell. The calculation puts the calculated volume at 60.4 Å³ per cell.

abc: 4.697 4.697 2.860
angles: 90.00 90.00 106.87
Atoms (fractional coordinates):
1 Ru 0.000 0.000 0.000
2 Ru 0.000 0.500 0.500
3 Ru 0.500 0.000 0.500
4 Br 0.500 0.500 0.000

Relative energies, unit meV per atom: *a* 16; *b* 0

*a*
A plane-wave DFT calculation with PBE-GGA was carried out for crystalline RuBr4 at its relaxed geometry.

Calculated values
The symmetry is No. 229. For the density, the calculation gives 5.27 g cm⁻³. Its size of the total moment is 2.340 μB per cell. The calculation puts the calculated volume at 132.6 Å³ per cell.

abc: 5.564 5.564 5.564
angles: 109.47 109.47 109.47
Atoms (fractional coordinates):
1 Ru 0.000 0.000 0.000
2 Br 0.000 0.000 0.500
3 Br 0.000 0.500 0.000
4 Br 0.500 0.000 0.000
5 Br 0.500 0.500 0.500

*b*
A plane-wave DFT calculation with PBE-GGA was carried out for crystalline RuBr4 at its relaxed geometry.

Calculated values
The symmetry is No. 87. For the density, the calculation gives 4.62 g cm⁻³. Its size of the total moment is 0.000 μB per cell. The calculation puts the calculated volume at 151.1 Å³ per cell.

abc: 7.086 7.086 7.086
angles: 92.86 92.86 154.18
Atoms (fractional coordinates):
1 Ru 0.000 0.000 0.000
2 Br 0.284 0.453 0.737
3 Br 0.453 0.716 0.169
4 Br 0.547 0.284 0.831
5 Br 0.716 0.547 0.263

*c*
A plane-wave DFT calculation with PBE-GGA was carried out for crystalline RuBr4 at its relaxed geometry.

Calculated values
The symmetry is No. 221. For the density, the calculation gives 5.38 g cm⁻³. Its size of the total moment is 1.468 μB per cell. The calculation puts the calculated volume at 129.8 Å³ per cell.

abc: 5.064 5.064 5.064
angles: 90.00 90.00 90.00
Atoms (fractional coordinates):
1 Ru 0.000 0.000 0.000
2 Br 0.000 0.000 0.500
3 Br 0.000 0.500 0.000
4 Br 0.500 0.000 0.000
5 Br 0.500 0.500 0.500

Relative energies, unit meV per atom: *a* 328; *b* 0; *c* 98

*a*
A plane-wave DFT calculation with PBE-GGA was carried out for crystalline RuBr5 at its relaxed geometry.

Calculated values
The symmetry is No. 123. For the density, the calculation gives 4.67 g cm⁻³. Its size of the total moment is 2.234 μB per cell. The calculation puts the calculated volume at 178.1 Å³ per cell.

abc: 3.094 3.094 18.606
angles: 90.00 90.00 90.00
Atoms (fractional coordinates):
1 Ru 0.000 0.000 0.000
2 Br 0.000 0.000 0.279
3 Br 0.000 0.000 0.721
4 Br 0.500 0.500 0.089
5 Br 0.500 0.500 0.500
6 Br 0.500 0.500 0.911

*b*
A plane-wave DFT calculation with PBE-GGA was carried out for crystalline RuBr5 at its relaxed geometry.

Calculated values
The symmetry is No. 8. For the density, the calculation gives 4.37 g cm⁻³. Its size of the total moment is 0.000 μB per cell. The calculation puts the calculated volume at 190.1 Å³ per cell.

abc: 7.071 7.071 7.689
angles: 105.10 105.10 30.90
Atoms (fractional coordinates):
1 Ru 0.000 0.000 0.000
2 Br 0.052 0.052 0.313
3 Br 0.375 0.375 0.969
4 Br 0.409 0.409 0.457
5 Br 0.613 0.613 0.959
6 Br 0.736 0.736 0.447

Relative energies, unit meV per atom: *a* 331; *b* 0

*a*
A plane-wave DFT calculation with PBE-GGA was carried out for crystalline Ru4Br5 at its relaxed geometry.

Calculated values
The symmetry is No. 193. For the density, the calculation gives 6.58 g cm⁻³. Its size of the total moment is 16.861 μB per cell. The calculation puts the calculated volume at 405.8 Å³ per cell.

abc: 8.725 8.725 6.156
angles: 90.00 90.00 120.00
Atoms (fractional coordinates):
1 Ru 0.000 0.000 0.000
2 Ru 0.000 0.000 0.500
3 Ru 0.000 0.488 0.250
4 Ru 0.000 0.512 0.750
5 Ru 0.488 0.000 0.250
6 Ru 0.488 0.488 0.750
7 Ru 0.512 0.000 0.750
8 Ru 0.512 0.512 0.250
9 Br 0.000 0.228 0.750
10 Br 0.000 0.772 0.250
11 Br 0.228 0.000 0.750
12 Br 0.228 0.228 0.250
13 Br 0.333 0.667 0.000
14 Br 0.333 0.667 0.500
15 Br 0.667 0.333 0.000
16 Br 0.667 0.333 0.500
17 Br 0.772 0.000 0.250
18 Br 0.772 0.772 0.750

*b*
A plane-wave DFT calculation with PBE-GGA was carried out for crystalline Ru4Br5 at its relaxed geometry.

Calculated values
The symmetry is No. 139. For the density, the calculation gives 7.12 g cm⁻³. Its size of the total moment is 5.539 μB per cell. The calculation puts the calculated volume at 187.6 Å³ per cell.

abc: 7.805 7.805 7.805
angles: 92.43 92.43 156.23
Atoms (fractional coordinates):
1 Ru 0.000 0.367 0.367
2 Ru 0.000 0.633 0.633
3 Ru 0.367 0.000 0.367
4 Ru 0.633 0.000 0.633
5 Br 0.000 0.000 0.000
6 Br 0.335 0.335 0.669
7 Br 0.335 0.665 0.000
8 Br 0.665 0.335 0.000
9 Br 0.665 0.665 0.331

Relative energies, unit meV per atom: *a* 0; *b* 73

*a*
A plane-wave DFT calculation with PBE-GGA was carried out for crystalline Ru3Br5 at its relaxed geometry.

Calculated values
The symmetry is No. 8. For the density, the calculation gives 5.82 g cm⁻³. Its size of the total moment is 6.440 μB per cell. The calculation puts the calculated volume at 401.0 Å³ per cell.

abc: 7.482 7.482 9.520
angles: 95.78 95.78 129.27
Atoms (fractional coordinates):
1 Ru 0.000 0.000 0.000
2 Ru 0.165 0.663 0.305
3 Ru 0.314 0.511 0.714
4 Ru 0.511 0.314 0.714
5 Ru 0.636 0.636 0.581
6 Ru 0.663 0.165 0.305
7 Br 0.080 0.080 0.739
8 Br 0.084 0.377 0.461
9 Br 0.270 0.922 0.112
10 Br 0.377 0.084 0.461
11 Br 0.542 0.948 0.756
12 Br 0.558 0.779 0.320
13 Br 0.586 0.586 0.944
14 Br 0.779 0.558 0.320
15 Br 0.922 0.270 0.112
16 Br 0.948 0.542 0.756

*b*
A plane-wave DFT calculation with PBE-GGA was carried out for crystalline Ru3Br5 at its relaxed geometry.

Calculated values
The symmetry is No. 193. For the density, the calculation gives 7.00 g cm⁻³. Its size of the total moment is 4.329 μB per cell. The calculation puts the calculated volume at 333.6 Å³ per cell.

abc: 7.505 7.505 6.839
angles: 90.00 90.00 120.00
Atoms (fractional coordinates):
1 Ru 0.000 0.433 0.250
2 Ru 0.000 0.567 0.750
3 Ru 0.433 0.000 0.250
4 Ru 0.433 0.433 0.750
5 Ru 0.567 0.000 0.750
6 Ru 0.567 0.567 0.250
7 Br 0.000 0.241 0.750
8 Br 0.000 0.759 0.250
9 Br 0.241 0.000 0.750
10 Br 0.241 0.241 0.250
11 Br 0.333 0.667 0.000
12 Br 0.333 0.667 0.500
13 Br 0.667 0.333 0.000
14 Br 0.667 0.333 0.500
15 Br 0.759 0.000 0.250
16 Br 0.759 0.759 0.750

Relative energies, unit meV per atom: *a* 0; *b* 421

*a*
A plane-wave DFT calculation with PBE-GGA was carried out for crystalline RuSBr2 at its relaxed geometry.

Calculated values
The symmetry is No. 122. For the density, the calculation gives 5.16 g cm⁻³. Its size of the total moment is 0.000 μB per cell. The calculation puts the calculated volume at 188.5 Å³ per cell.

abc: 6.274 6.274 6.274
angles: 112.69 112.69 103.20
Atoms (fractional coordinates):
1 Ru 0.000 0.000 0.000
2 Ru 0.750 0.250 0.500
3 S 0.250 0.750 0.500
4 S 0.500 0.500 0.000
5 Br 0.074 0.625 0.949
6 Br 0.375 0.324 0.449
7 Br 0.676 0.125 0.051
8 Br 0.875 0.926 0.551

*b*
A plane-wave DFT calculation with PBE-GGA was carried out for crystalline RuSBr2 at its relaxed geometry.

Calculated values
The symmetry is No. 225. For the density, the calculation gives 6.25 g cm⁻³. Its size of the total moment is 2.061 μB per cell. The calculation puts the calculated volume at 77.8 Å³ per cell.

abc: 4.792 4.792 4.792
angles: 60.00 60.00 60.00
Atoms (fractional coordinates):
1 Ru 0.000 0.000 0.000
2 S 0.500 0.500 0.500
3 Br 0.250 0.250 0.250
4 Br 0.750 0.750 0.750

*c*
A plane-wave DFT calculation with PBE-GGA was carried out for crystalline RuSBr2 at its relaxed geometry.

Calculated values
The symmetry is No. 166. For the density, the calculation gives 5.14 g cm⁻³. Its size of the total moment is 0.000 μB per cell. The calculation puts the calculated volume at 94.7 Å³ per cell.

abc: 7.795 7.795 7.795
angles: 28.40 28.40 28.40
Atoms (fractional coordinates):
1 Ru 0.000 0.000 0.000
2 S 0.500 0.500 0.500
3 Br 0.391 0.391 0.391
4 Br 0.609 0.609 0.609

Relative energies, unit meV per atom: *a* 244; *b* 547; *c* 0

*a*
A plane-wave DFT calculation with PBE-GGA was carried out for crystalline SbRuBr2 at its relaxed geometry.

Calculated values
The symmetry is No. 71. For the density, the calculation gives 5.63 g cm⁻³. Its size of the total moment is 0.000 μB per cell. The calculation puts the calculated volume at 112.9 Å³ per cell.

abc: 7.748 7.748 7.748
angles: 155.37 144.25 43.89
Atoms (fractional coordinates):
1 Sb 0.000 0.000 0.000
2 Ru 0.500 0.500 0.000
3 Br 0.359 0.859 0.500
4 Br 0.641 0.141 0.500

*b*
A plane-wave DFT calculation with PBE-GGA was carried out for crystalline SbRuBr2 at its relaxed geometry.

Calculated values
The symmetry is No. 225. For the density, the calculation gives 7.21 g cm⁻³. Its size of the total moment is 1.622 μB per cell. The calculation puts the calculated volume at 88.1 Å³ per cell.

abc: 4.995 4.995 4.995
angles: 60.00 60.00 60.00
Atoms (fractional coordinates):
1 Sb 0.000 0.000 0.000
2 Ru 0.500 0.500 0.500
3 Br 0.250 0.250 0.250
4 Br 0.750 0.750 0.750

*c*
A plane-wave DFT calculation with PBE-GGA was carried out for crystalline SbRuBr2 at its relaxed geometry.

Calculated values
The symmetry is No. 123. For the density, the calculation gives 6.19 g cm⁻³. Its size of the total moment is 2.766 μB per cell. The calculation puts the calculated volume at 102.6 Å³ per cell.

abc: 3.226 3.226 9.864
angles: 90.00 90.00 90.00
Atoms (fractional coordinates):
1 Sb 0.000 0.000 0.000
2 Ru 0.000 0.000 0.500
3 Br 0.500 0.500 0.327
4 Br 0.500 0.500 0.673

Relative energies, unit meV per atom: *a* 0; *b* 642; *c* 427

*a*
A plane-wave DFT calculation with PBE-GGA was carried out for crystalline SbRu2Br at its relaxed geometry.

Calculated values
The symmetry is No. 47. For the density, the calculation gives 8.77 g cm⁻³. Its size of the total moment is 0.000 μB per cell. The calculation puts the calculated volume at 76.4 Å³ per cell.

abc: 3.182 3.342 7.186
angles: 90.00 90.00 90.00
Atoms (fractional coordinates):
1 Sb 0.000 0.000 0.000
2 Ru 0.500 0.500 0.198
3 Ru 0.500 0.500 0.802
4 Br 0.000 0.500 0.500

*b*
A plane-wave DFT calculation with PBE-GGA was carried out for crystalline SbRu2Br at its relaxed geometry.

Calculated values
The symmetry is No. 216. For the density, the calculation gives 9.22 g cm⁻³. Its size of the total moment is 0.810 μB per cell. The calculation puts the calculated volume at 72.7 Å³ per cell.

abc: 4.685 4.685 4.685
angles: 60.00 60.00 60.00
Atoms (fractional coordinates):
1 Sb 0.000 0.000 0.000
2 Ru 0.500 0.500 0.500
3 Ru 0.750 0.750 0.750
4 Br 0.250 0.250 0.250

*c*
A plane-wave DFT calculation with PBE-GGA was carried out for crystalline SbRu2Br at its relaxed geometry.

Calculated values
The symmetry is No. 44. For the density, the calculation gives 9.10 g cm⁻³. Its size of the total moment is 0.000 μB per cell. The calculation puts the calculated volume at 73.7 Å³ per cell.

abc: 6.394 6.394 6.394
angles: 152.52 142.18 47.39
Atoms (fractional coordinates):
1 Sb 0.000 0.000 0.000
2 Ru 0.199 0.699 0.500
3 Ru 0.407 0.407 0.000
4 Br 0.735 0.235 0.500

Relative energies, unit meV per atom: *a* 0; *b* 645; *c* 200

*a*
A plane-wave DFT calculation with PBE-GGA was carried out for crystalline SbRu2Br at its relaxed geometry.

Calculated values
The symmetry is No. 47. For the density, the calculation gives 9.22 g cm⁻³. Its size of the total moment is 0.000 μB per cell. The calculation puts the calculated volume at 72.7 Å³ per cell.

abc: 3.050 4.331 5.505
angles: 90.00 90.00 90.00
Atoms (fractional coordinates):
1 Sb 0.000 0.000 0.000
2 Ru 0.000 0.500 0.500
3 Ru 0.500 0.500 0.000
4 Br 0.500 0.000 0.500

*b*
A plane-wave DFT calculation with PBE-GGA was carried out for crystalline SbRu2Br at its relaxed geometry.

Calculated values
The symmetry is No. 65. For the density, the calculation gives 8.93 g cm⁻³. Its size of the total moment is 0.001 μB per cell. The calculation puts the calculated volume at 75.1 Å³ per cell.

abc: 3.207 3.207 8.460
angles: 90.00 90.00 120.35
Atoms (fractional coordinates):
1 Sb 0.000 0.000 0.000
2 Ru 0.500 0.500 0.238
3 Ru 0.500 0.500 0.762
4 Br 0.000 0.000 0.500

Relative energies, unit meV per atom: *a* 49; *b* 0

*a*
A plane-wave DFT calculation with PBE-GGA was carried out for crystalline Sb2RuBr at its relaxed geometry.

Calculated values
The symmetry is No. 166. For the density, the calculation gives 7.18 g cm⁻³. Its size of the total moment is 0.000 μB per cell. The calculation puts the calculated volume at 98.1 Å³ per cell.

abc: 8.116 8.116 8.116
angles: 27.14 27.14 27.14
Atoms (fractional coordinates):
1 Sb 0.230 0.230 0.230
2 Sb 0.770 0.770 0.770
3 Ru 0.500 0.500 0.500
4 Br 0.000 0.000 0.000

*b*
A plane-wave DFT calculation with PBE-GGA was carried out for crystalline Sb2RuBr at its relaxed geometry.

Calculated values
The symmetry is No. 10. For the density, the calculation gives 7.80 g cm⁻³. Its size of the total moment is 1.277 μB per cell. The calculation puts the calculated volume at 90.4 Å³ per cell.

abc: 4.879 3.261 5.682
angles: 90.00 90.12 90.00
Atoms (fractional coordinates):
1 Sb 0.000 0.000 0.000
2 Sb 0.000 0.500 0.500
3 Ru 0.500 0.000 0.500
4 Br 0.500 0.500 0.000

*c*
A plane-wave DFT calculation with PBE-GGA was carried out for crystalline Sb2RuBr at its relaxed geometry.

Calculated values
The symmetry is No. 38. For the density, the calculation gives 7.27 g cm⁻³. Its size of the total moment is 0.000 μB per cell. The calculation puts the calculated volume at 97.0 Å³ per cell.

abc: 3.733 5.556 5.556
angles: 57.35 90.00 90.00
Atoms (fractional coordinates):
1 Sb 0.000 0.000 0.000
2 Sb 0.500 0.300 0.300
3 Ru 0.500 0.819 0.819
4 Br 0.000 0.622 0.622

Relative energies, unit meV per atom: *a* 0; *b* 698; *c* 103